Entry from the Alexandria database: a relaxed structure of CsSi2Rh2 (PBE).

Cell: 3.934 3.934 8.057 Å, 75.87 75.87 90.00°
Element x y z (fractional)
Cs 0.000 0.000 0.000
Si 0.750 0.250 0.500
Si 0.250 0.750 0.500
Rh 0.336 0.336 0.327
Rh 0.664 0.664 0.673

Properties
**E_form (uncorrected)**: -0.280 eV/atom
**Fermi-level density of states**: 2.2 states/eV/f.u.
**Raw total energy**: -5.560 eV per atom
**Space group**: I4/mmm, No. 139
**Energy above the most stable polymorph in this dataset**: 0.232 eV per atom